The following is a PBE calculation of a relaxed CaLa3Pb crystal, from Alexandria.

Unit cell a=6.204 b=6.204 c=6.204 alpha=90.00 beta=90.00 gamma=90.00
Fractional positions:
Pb  0.000  0.000  0.000
Ca  0.500  0.500  0.500
La  0.000  0.500  0.000
La  0.000  0.000  0.500
La  0.500  0.000  0.000

Computed properties:
The total magnetization comes out at 1.795 μB/f.u. For the uncorrected energy, the calculation gives -3.948 eV per atom. The value obtained for the energy relative to the elements is 0.753 eV per formula unit. For the polymorph energy (0 for the lowest one), the calculation gives 0 meV/atom.



The following is a PBE calculation of a relaxed BeNiIN2 crystal, from Alexandria.

Unit cell a=3.480 b=3.480 c=7.024 alpha=90.00 beta=90.00 gamma=90.00
Fractional positions:
I  0.000  0.000  0.500
Ni  0.500  0.500  0.500
Be  0.000  0.000  0.000
N  0.000  0.500  0.000
N  0.500  0.000  0.000

Computed properties:
The total magnetization comes out at 2.172 μB/f.u. For the uncorrected energy, the calculation gives -4.275 eV per atom. For the polymorph energy (0 for the lowest one), the calculation gives 0 meV/atom. For the formation energy from raw total energies, the calculation gives 1.266 eV per atom.



The following is a PBE calculation of a relaxed LiCe2Au3 crystal, from Alexandria.

Unit cell a=5.819 b=5.819 c=8.890 alpha=102.99 beta=102.99 gamma=108.25
Fractional positions:
Li  0.666  0.666  0.333
Li  0.334  0.334  0.667
Ce  0.250  0.750  0.500
Ce  0.766  0.766  0.000
Ce  0.750  0.250  0.500
Ce  0.234  0.234  0.000
Au  0.353  0.822  0.174
Au  0.178  0.647  0.826
Au  0.647  0.178  0.826
Au  0.822  0.353  0.174
Au  0.175  0.175  0.350
Au  0.825  0.825  0.650

Computed properties:
The total magnetization comes out at 1.443 μB/f.u. For the uncorrected energy, the calculation gives -4.524 eV per atom. The value obtained for the energy relative to the elements is -3.531 eV per formula unit. For the polymorph energy (0 for the lowest one), the calculation gives 0 meV/atom.



The following is a PBE calculation of a relaxed Pr6Sm3Tm crystal, from Alexandria.

Unit cell a=6.535 b=11.195 c=11.195 alpha=120.99 beta=90.00 gamma=90.00
Fractional positions:
Pr  0.056  0.712  0.628
Pr  0.556  0.628  0.712
Pr  0.362  0.521  0.940
Pr  0.862  0.940  0.521
Pr  0.370  0.966  0.034
Pr  0.657  0.279  0.721
Pr  0.157  0.721  0.279
Pr  0.870  0.034  0.966
Pr  0.362  0.060  0.479
Pr  0.862  0.479  0.060
Pr  0.056  0.372  0.288
Pr  0.556  0.288  0.372
Sm  0.465  0.944  0.712
Sm  0.965  0.712  0.944
Sm  0.081  0.385  0.615
Sm  0.581  0.615  0.385
Sm  0.965  0.056  0.288
Sm  0.465  0.288  0.056
Tm  0.112  0.192  0.808
Tm  0.612  0.808  0.192

Computed properties:
The total magnetization comes out at 0.000 μB/f.u. For the uncorrected energy, the calculation gives -4.597 eV per atom. The value obtained for the energy relative to the elements is 1.338 eV per formula unit.



The following is a PBE calculation of a relaxed Tb4Pm5In4 crystal, from Alexandria.

Unit cell a=5.140 b=9.166 c=9.166 alpha=85.49 beta=73.72 gamma=73.72
Fractional positions:
Tb  0.905  0.486  0.704
Tb  0.609  0.296  0.486
Tb  0.095  0.514  0.296
Tb  0.391  0.704  0.514
Pm  0.690  0.908  0.712
Pm  0.310  0.092  0.288
Pm  0.000  0.000  0.000
Pm  0.598  0.712  0.092
Pm  0.402  0.288  0.908
In  0.764  0.342  0.130
In  0.236  0.658  0.870
In  0.894  0.870  0.342
In  0.106  0.130  0.658

Computed properties:
The total magnetization comes out at 0.000 μB/f.u. For the uncorrected energy, the calculation gives -4.409 eV per atom. The value obtained for the energy relative to the elements is -4.089 eV per formula unit.



The following is a PBE calculation of a relaxed SrNdSn2Pd5 crystal, from Alexandria.

Unit cell a=4.692 b=4.692 c=8.869 alpha=90.00 beta=90.00 gamma=90.00
Fractional positions:
Sr  0.000  0.000  0.500
Nd  0.000  0.000  0.000
Sn  0.500  0.500  0.159
Sn  0.500  0.500  0.841
Pd  0.000  0.500  0.284
Pd  0.500  0.000  0.284
Pd  0.000  0.500  0.716
Pd  0.500  0.000  0.716
Pd  0.500  0.500  0.500

Computed properties:
The total magnetization comes out at 0.000 μB/f.u. For the uncorrected energy, the calculation gives -5.080 eV per atom. The value obtained for the energy relative to the elements is -5.303 eV per formula unit.